Density functional theory data (PBE-GGA) for UNiGeN after structural relaxation.

Unit cell a=3.913 b=3.913 c=7.741 alpha=90.00 beta=90.00 gamma=90.00
Each line ends with the local moment (μB).
Atoms (fractional coordinates):
U 0.500 0.000 0.645  0.93
U 0.000 0.500 0.355  0.93
Ge 0.000 0.500 0.832  -0.01
Ge 0.500 0.000 0.168  -0.01
Ni 0.000 0.000 0.000  0.08
Ni 0.500 0.500 0.000  0.08
N 0.500 0.500 0.500  -0.06
N 0.000 0.000 0.500  -0.06

Results
Total magnetization = 1.998 Bohr magnetons per cell
Raw formation energy = -82.6 kJ/mol of atoms
ρ = 10.7 Mg/m³
E_tot = -33.44 eV per formula unit

***

Density functional theory data (PBE-GGA) for NiGeW2N after structural relaxation.

Unit cell a=4.743 b=3.299 c=4.743 alpha=90.00 beta=90.00 gamma=90.00
Atoms (fractional coordinates):
Ni 0.000 0.000 0.000
Ge 0.500 0.500 0.500
W 0.000 0.000 0.500
W 0.500 0.000 0.000
N 0.000 0.500 0.000

Results
Total magnetization = 0.000 Bohr magnetons per cell
Raw formation energy = 127.3 kJ/mol of atoms
ρ = 11.5 Mg/m³
E_tot = -38.03 eV per formula unit

***

Density functional theory data (PBE-GGA) for NiGe2WN after structural relaxation.

Unit cell a=4.933 b=4.550 c=4.933 alpha=90.00 beta=90.00 gamma=90.00
Each line ends with the local moment (μB).
Atoms (fractional coordinates):
Ge 0.500 0.000 0.000  -0.01
Ge 0.000 0.000 0.500  -0.01
W 0.000 0.000 0.000  0.22
Ni 0.000 0.500 0.000  0.04
N 0.500 0.500 0.500  1.65

Results
Total magnetization = 2.646 Bohr magnetons per cell
Raw formation energy = 176.6 kJ/mol of atoms
ρ = 6.0 Mg/m³
E_tot = -27.14 eV per formula unit

***

Density functional theory data (PBE-GGA) for YNi2GeN after structural relaxation.

Unit cell a=3.425 b=6.039 c=6.903 alpha=90.00 beta=90.00 gamma=106.47
Atoms (fractional coordinates):
N 0.000 0.000 0.500
N 0.000 0.000 0.000
Ge 0.262 0.524 0.250
Ge 0.738 0.476 0.750
Y 0.473 0.947 0.750
Y 0.527 0.053 0.250
Ni 0.838 0.676 0.454
Ni 0.162 0.324 0.954
Ni 0.838 0.676 0.046
Ni 0.162 0.324 0.546

Results
Total magnetization = 0.000 Bohr magnetons per cell
Raw formation energy = -73.7 kJ/mol of atoms
ρ = 7.1 Mg/m³
E_tot = -34.79 eV per formula unit

***

Density functional theory data (PBE-GGA) for YNiGe2N after structural relaxation.

Unit cell a=4.785 b=3.616 c=4.785 alpha=90.00 beta=90.00 gamma=90.00
Atoms (fractional coordinates):
Ge 0.500 0.000 0.000
Ge 0.000 0.000 0.500
Y 0.500 0.500 0.500
Ni 0.000 0.500 0.000
N 0.000 0.000 0.000

Results
Total magnetization = 0.049 Bohr magnetons per cell
Raw formation energy = 0.1 kJ/mol of atoms
ρ = 6.2 Mg/m³
E_tot = -29.80 eV per formula unit

***

Density functional theory data (PBE-GGA) for ZnNiGe2N after structural relaxation.

Unit cell a=4.703 b=4.423 c=4.703 alpha=90.00 beta=90.00 gamma=90.00
Each line ends with the local moment (μB).
Atoms (fractional coordinates):
Ni 0.000 0.500 0.000  0.56
Zn 0.000 0.000 0.000  0.01
Ge 0.000 0.000 0.500  -0.05
Ge 0.500 0.000 0.000  -0.08
N 0.500 0.500 0.500  1.14

Results
Total magnetization = 1.907 Bohr magnetons per cell
Raw formation energy = 161.8 kJ/mol of atoms
ρ = 4.8 Mg/m³
E_tot = -16.23 eV per formula unit

***

> total magnetization of number 5 (YNiGe2N)?

0.049 Bohr magnetons per cell